{"formula": "Y8Hg2Os", "functional": "PBE", "state": "optimized geometry", "formation_enthalpy_0k_ev_per_atom": -0.2660, "density_g_cm3": 7.08, "magmom_total_mub_per_cell": 0.00, "volume_a3_per_cell": 305.6, "relative_energy_mev_per_atom": 0, "dos_at_fermi_per_ev_fu": 8.41, "lattice": [[8.900, -2.620, 0.000], [8.900, 2.620, 0.000], [-2.198, 0.000, 6.553]], "species": ["Y", "Y", "Y", "Y", "Y", "Y", "Y", "Y", "Hg", "Hg", "Os"], "frac_coords": [[0.024, 0.024, 0.293], [0.199, 0.199, 0.805], [0.345, 0.345, 0.538], [0.411, 0.411, 0.071], [0.589, 0.589, 0.929], [0.655, 0.655, 0.462], [0.801, 0.801, 0.195], [0.976, 0.976, 0.707], [0.183, 0.183, 0.217], [0.817, 0.817, 0.783], [0.500, 0.500, 0.500]]}